# 1
Below is crystalline MgHg2W at its relaxed geometry, with properties calculated at the PBE level.

Its formation energy from the elements is 556 meV per atom. The value obtained for the energy relative to the lowest polymorph listed for this composition is 0.113 eV per atom.

Structure (POSCAR):
```
MgHg2W
1.0
-1.5168 2.4983 5.1196
1.5168 -2.4983 5.1196
1.5168 2.4983 -5.1196
Mg Hg W
1 2 1
direct
0.0000 0.0000 0.0000
0.4864 0.4864 0.0000
0.7471 0.2471 0.5000
0.2405 0.7405 0.5000
```

***

# 2
Below is crystalline MgHg2W at its relaxed geometry, with properties calculated at the PBE level.

Its formation energy from the elements is 955 meV per atom. The value obtained for the energy relative to the lowest polymorph listed for this composition is 0.512 eV per atom.

Structure (POSCAR):
```
MgHg2W
1.0
-2.0973 2.0973 9.7996
2.0973 -2.0973 9.7996
2.0973 2.0973 -9.7996
Mg Hg W
2 4 2
direct
0.0000 0.0000 0.0000
0.7500 0.2500 0.5000
0.1314 0.6250 0.0064
0.3750 0.3814 0.5064
0.6186 0.1250 0.9936
0.8750 0.8686 0.4936
0.2500 0.7500 0.5000
0.5000 0.5000 0.0000
```

***

# 3
Below is crystalline MgHgW2 at its relaxed geometry, with properties calculated at the PBE level.

Its formation energy from the elements is 350 meV per atom. The value obtained for the energy relative to the lowest polymorph listed for this composition is 0.000 eV per atom.

Structure (POSCAR):
```
MgHgW2
1.0
1.6288 -2.3696 0.0000
1.6288 2.3696 0.0000
0.0000 0.0000 9.4326
Mg Hg W
1 1 2
direct
0.0000 0.0000 0.0000
0.5000 0.5000 0.2643
0.0000 0.0000 0.5326
0.5000 0.5000 0.7506
```

***

# 4
Below is crystalline MgHgW at its relaxed geometry, with properties calculated at the PBE level.

Its formation energy from the elements is 1195 meV per atom. The value obtained for the energy relative to the lowest polymorph listed for this composition is 0.726 eV per atom.

Structure (POSCAR):
```
MgHgW
1.0
0.0000 3.2083 3.2083
3.2083 0.0000 3.2083
3.2083 3.2083 0.0000
Mg Hg W
1 1 1
direct
0.0000 0.0000 0.0000
0.2500 0.2500 0.2500
0.5000 0.5000 0.5000
```

***

# 5
Below is crystalline MgHgW2 at its relaxed geometry, with properties calculated at the PBE level.

Its formation energy from the elements is 1006 meV per atom. The value obtained for the energy relative to the lowest polymorph listed for this composition is 0.656 eV per atom.

Structure (POSCAR):
```
MgHgW2
1.0
4.9919 0.0000 0.0000
0.0000 4.9919 0.0000
0.0000 0.0000 2.8337
Mg Hg W
1 1 2
direct
0.0000 0.0000 0.0000
0.5000 0.5000 0.0000
0.0000 0.5000 0.5000
0.5000 0.0000 0.5000
```

***

# 6
Below is crystalline MgHgW3 at its relaxed geometry, with properties calculated at the PBE level.

Its formation energy from the elements is 2489 meV per atom. The value obtained for the energy relative to the lowest polymorph listed for this composition is 0.000 eV per atom.

Structure (POSCAR):
```
MgHgW3
1.0
4.5986 0.0000 0.0000
0.0000 4.5986 0.0000
0.0000 0.0000 4.5986
Mg Hg W
1 1 3
direct
0.0000 0.0000 0.0000
0.5000 0.5000 0.5000
0.0000 0.0000 0.5000
0.0000 0.5000 0.0000
0.5000 0.0000 0.0000
```

***

# 7
Below is crystalline MgHg2W at its relaxed geometry, with properties calculated at the PBE level.

Its formation energy from the elements is 661 meV per atom. The value obtained for the energy relative to the lowest polymorph listed for this composition is 0.218 eV per atom.

Structure (POSCAR):
```
MgHg2W
1.0
0.0000 3.3975 3.3975
3.3975 0.0000 3.3975
3.3975 3.3975 0.0000
Mg Hg W
1 2 1
direct
0.0000 0.0000 0.0000
0.2500 0.2500 0.2500
0.7500 0.7500 0.7500
0.5000 0.5000 0.5000
```

***

# 8
Below is crystalline Mg3HgW at its relaxed geometry, with properties calculated at the PBE level.

Its formation energy from the elements is 1207 meV per atom. The value obtained for the energy relative to the lowest polymorph listed for this composition is 0.026 eV per atom.

Structure (POSCAR):
```
Mg3HgW
1.0
5.0728 0.0000 0.0000
0.0000 5.0728 0.0000
0.0000 0.0000 5.0728
Mg Hg W
3 1 1
direct
0.0000 0.0000 0.5000
0.0000 0.5000 0.0000
0.5000 0.0000 0.0000
0.0000 0.0000 0.0000
0.5000 0.5000 0.5000
```

***

# 9
Below is crystalline MgHg2W at its relaxed geometry, with properties calculated at the PBE level.

Its formation energy from the elements is 570 meV per atom. The value obtained for the energy relative to the lowest polymorph listed for this composition is 0.127 eV per atom.

Structure (POSCAR):
```
MgHg2W
1.0
4.8402 -1.4755 0.0000
4.8402 1.4755 0.0000
-0.9298 0.0000 5.5042
Mg Hg W
1 2 1
direct
0.0000 0.0000 0.0000
0.2493 0.2493 0.7414
0.7507 0.7507 0.2586
0.5000 0.5000 0.5000
```

***

# 10
Below is crystalline MgHgW2 at its relaxed geometry, with properties calculated at the PBE level.

Its formation energy from the elements is 443 meV per atom. The value obtained for the energy relative to the lowest polymorph listed for this composition is 0.093 eV per atom.

Structure (POSCAR):
```
MgHgW2
1.0
2.8509 0.0000 0.0000
0.0000 4.2878 0.0000
-0.9291 0.0000 5.8913
Mg Hg W
1 1 2
direct
0.0000 0.0000 0.0000
0.4794 0.5000 0.7613
0.5033 0.5000 0.2661
0.8713 0.0000 0.4654
```

***

# 11
Below is crystalline Mg2HgW at its relaxed geometry, with properties calculated at the PBE level.

Its formation energy from the elements is 642 meV per atom. The value obtained for the energy relative to the lowest polymorph listed for this composition is 0.423 eV per atom.

Structure (POSCAR):
```
Mg2HgW
1.0
0.0000 3.3788 3.3788
3.3788 0.0000 3.3788
3.3788 3.3788 0.0000
Mg Hg W
2 1 1
direct
0.0000 0.0000 0.0000
0.2500 0.2500 0.2500
0.5000 0.5000 0.5000
0.7500 0.7500 0.7500
```

***

# 12
Below is crystalline MgHgW2 at its relaxed geometry, with properties calculated at the PBE level.

Its formation energy from the elements is 1339 meV per atom. The value obtained for the energy relative to the lowest polymorph listed for this composition is 0.989 eV per atom.

Structure (POSCAR):
```
MgHgW2
1.0
-3.8018 3.8018 2.6639
3.8018 -3.8018 2.6639
3.8018 3.8018 -2.6639
Mg Hg W
2 2 4
direct
0.0000 0.0000 0.0000
0.7500 0.2500 0.5000
0.2500 0.7500 0.5000
0.5000 0.5000 0.0000
0.1311 0.1250 0.5061
0.3750 0.8689 0.9939
0.6189 0.6250 0.4939
0.8750 0.3811 0.0061
```

***

# 13
Below is crystalline Mg2HgW at its relaxed geometry, with properties calculated at the PBE level.

Its formation energy from the elements is 437 meV per atom. The value obtained for the energy relative to the lowest polymorph listed for this composition is 0.218 eV per atom.

Structure (POSCAR):
```
Mg2HgW
1.0
5.0590 -1.4563 0.0000
5.0590 1.4563 0.0000
-0.9793 0.0000 5.1432
Mg Hg W
2 1 1
direct
0.0000 0.0000 0.0000
0.2410 0.2410 0.7316
0.7453 0.7453 0.2588
0.4946 0.4946 0.5036
```

***

# 14
Below is crystalline MgHgW at its relaxed geometry, with properties calculated at the PBE level.

Its formation energy from the elements is 501 meV per atom. The value obtained for the energy relative to the lowest polymorph listed for this composition is 0.033 eV per atom.

Structure (POSCAR):
```
MgHgW
1.0
2.9654 0.0000 0.0000
-1.4827 2.5681 0.0000
0.0000 0.0000 7.3650
Mg Hg W
1 1 1
direct
0.0000 0.0000 0.0000
0.3333 0.6667 0.6566
0.6667 0.3333 0.3168
```

***

# 15
Below is crystalline Mg2HgW at its relaxed geometry, with properties calculated at the PBE level.

Its formation energy from the elements is 870 meV per atom. The value obtained for the energy relative to the lowest polymorph listed for this composition is 0.651 eV per atom.

Structure (POSCAR):
```
Mg2HgW
1.0
-3.7534 3.7534 2.8631
3.7534 -3.7534 2.8631
3.7534 3.7534 -2.8631
Mg Hg W
4 2 2
direct
0.1136 0.6250 0.9886
0.3750 0.3636 0.4886
0.6364 0.1250 0.0114
0.8750 0.8864 0.5114
0.0000 0.0000 0.0000
0.7500 0.2500 0.5000
0.2500 0.7500 0.5000
0.5000 0.5000 0.0000
```

***

# 16
Below is crystalline Mg2HgW at its relaxed geometry, with properties calculated at the PBE level.

Its formation energy from the elements is 496 meV per atom. The value obtained for the energy relative to the lowest polymorph listed for this composition is 0.277 eV per atom.

Structure (POSCAR):
```
Mg2HgW
1.0
3.1344 0.0000 0.0000
0.0000 4.7789 0.0000
0.0000 0.0000 4.9665
Mg Hg W
2 1 1
direct
0.0000 0.0000 0.0000
0.5000 0.0000 0.5000
0.0000 0.5000 0.5000
0.5000 0.5000 0.0000
```

***

# 17
Below is crystalline Mg2HgW at its relaxed geometry, with properties calculated at the PBE level.

Its formation energy from the elements is 219 meV per atom. The value obtained for the energy relative to the lowest polymorph listed for this composition is 0.000 eV per atom.

Structure (POSCAR):
```
Mg2HgW
1.0
2.8871 0.0000 0.0000
0.0000 2.8871 0.0000
0.0000 0.0000 9.0951
Mg Hg W
2 1 1
direct
0.0000 0.0000 0.2350
0.0000 0.0000 0.7650
0.5000 0.5000 0.5000
0.5000 0.5000 0.0000
```

***

# 18
Below is crystalline MgHgW2 at its relaxed geometry, with properties calculated at the PBE level.

Its formation energy from the elements is 658 meV per atom. The value obtained for the energy relative to the lowest polymorph listed for this composition is 0.308 eV per atom.

Structure (POSCAR):
```
MgHgW2
1.0
1.7114 -2.1763 0.0000
1.7114 2.1763 0.0000
0.0000 0.0000 9.5055
Mg Hg W
1 1 2
direct
0.0000 0.0000 0.0000
0.0000 0.0000 0.5000
0.5000 0.5000 0.2467
0.5000 0.5000 0.7533
```

***

# 19
Below is crystalline Mg2HgW at its relaxed geometry, with properties calculated at the PBE level.

Its formation energy from the elements is 563 meV per atom. The value obtained for the energy relative to the lowest polymorph listed for this composition is 0.343 eV per atom.

Structure (POSCAR):
```
Mg2HgW
1.0
-2.1020 2.1020 4.1974
2.1020 -2.1020 4.1974
2.1020 2.1020 -4.1974
Mg Hg W
2 1 1
direct
0.2500 0.7500 0.5000
0.7500 0.2500 0.5000
0.0000 0.0000 0.0000
0.5000 0.5000 0.0000
```

***

# 20
Below is crystalline MgHgW2 at its relaxed geometry, with properties calculated at the PBE level.

Its formation energy from the elements is 729 meV per atom. The value obtained for the energy relative to the lowest polymorph listed for this composition is 0.379 eV per atom.

Structure (POSCAR):
```
MgHgW2
1.0
1.4528 0.8388 9.8017
-1.4528 0.8388 9.8017
0.0000 -1.6775 9.8017
Mg Hg W
1 1 2
direct
0.0000 0.0000 0.0000
0.5000 0.5000 0.5000
0.2503 0.2503 0.2503
0.7497 0.7497 0.7497
```